The following is a DFT calculation (PBEsol) of a relaxed LaTmB12 crystal.

POSCAR file:
```
LaTmB12
1.0
5.794 0.000 0.000
2.897 5.018 0.000
2.897 1.673 4.731
B Tm La
12 1 1
Direct
0.900 0.600 0.600
0.400 0.100 0.100
0.600 0.600 0.900
0.100 0.100 0.400
0.900 0.600 0.900
0.400 0.100 0.400
0.900 0.900 0.600
0.400 0.400 0.100
0.600 0.900 0.600
0.100 0.400 0.100
0.600 0.900 0.900
0.100 0.400 0.400
0.500 0.500 0.500
0.000 0.000 0.000
```

Summary:
N(E_F) in states/eV/cell: 1.76
Formation enthalpy at 0 K in eV/atom: -0.4676
Symmetry: Fm-3m